# 1
A relaxed structure of Cd2BN, computed with PBE.

Cell lengths 4.3137, 4.3137, 4.3137 Å; angles 60.00, 60.00, 60.00 degrees
With the nearest neighbours (Å) after each atom.
Positions (direct):
Cd 0.2500 0.2500 0.2500  4 B 2.64, 4 N 2.64
N 0.5000 0.5000 0.5000  8 Cd 2.64
B 0.0000 0.0000 0.0000  8 Cd 2.64
Cd 0.7500 0.7500 0.7500  4 B 2.64, 4 N 2.64

Results
Space group = Fm-3m
Crystal system = cubic
Formation energy from raw total energies = 33.552 kcal/mol of atoms



# 2
A relaxed structure of CdBN3, computed with PBE.

Cell lengths 4.2498, 4.2498, 4.2498 Å; angles 90.00, 90.00, 90.00 degrees
With the nearest neighbours (Å) after each atom.
Positions (direct):
N 0.5000 0.0000 0.0000  2 Cd 2.12
N 0.0000 0.5000 0.0000  2 Cd 2.12
N 0.0000 0.0000 0.5000  2 Cd 2.12
B 0.5000 0.5000 0.5000  12 N 3.01
Cd 0.0000 0.0000 0.0000  6 N 2.12

Results
Space group = Pm-3m
Crystal system = cubic
Formation energy from raw total energies = 76.125 kcal/mol of atoms



# 3
A relaxed structure of CdB3N3, computed with PBE.

Cell lengths 4.7931, 4.7931, 4.7931 Å; angles 90.00, 90.00, 90.00 degrees
With the nearest neighbours (Å) after each atom.
Positions (direct):
Cd 0.0000 0.0000 0.0000  12 N 2.68, 12 B 2.68
B 0.5000 0.7500 0.0000  4 N 1.69
N 0.5000 0.0000 0.2500  4 B 1.69
B 0.5000 0.2500 0.0000  4 N 1.69
N 0.7500 0.5000 0.0000  4 B 1.69
B 0.0000 0.5000 0.7500  4 N 1.69
B 0.0000 0.5000 0.2500  4 N 1.69
N 0.2500 0.5000 0.0000  4 B 1.69
N 0.5000 0.0000 0.7500  4 B 1.69
N 0.0000 0.2500 0.5000  4 B 1.69
B 0.7500 0.0000 0.5000  4 N 1.69
N 0.0000 0.7500 0.5000  4 B 1.69
B 0.2500 0.0000 0.5000  4 N 1.69
Cd 0.5000 0.5000 0.5000  12 B 2.68, 12 N 2.68

Results
Space group = Pm-3n
Crystal system = cubic
Formation energy from raw total energies = 5.108 kcal/mol of atoms



# 4
A relaxed structure of CdBN2O, computed with PBE.

Cell lengths 4.3203, 4.3203, 4.2286 Å; angles 90.00, 90.00, 90.00 degrees
With the nearest neighbours (Å) after each atom.
Positions (direct):
O 0.0000 0.0000 0.5000  2 Cd 2.11
Cd 0.0000 0.0000 0.0000  2 O 2.11, 4 N 2.16
N 0.0000 0.5000 0.0000  2 Cd 2.16
B 0.5000 0.5000 0.5000  8 N 3.02, 4 O 3.05
N 0.5000 0.0000 0.0000  2 Cd 2.16

Results
Space group = P4/mmm
Crystal system = tetragonal
Formation energy from raw total energies = 59.689 kcal/mol of atoms



# 5
A relaxed structure of CdBN2O, computed with PBE.

Cell lengths 3.0882, 3.0882, 6.4239 Å; angles 90.00, 90.00, 90.00 degrees
With the nearest neighbours (Å) after each atom.
Positions (direct):
N 0.5000 0.0000 0.0000  2 B 1.54
N 0.0000 0.5000 0.0000  2 B 1.54
B 0.0000 0.0000 0.0000  4 N 1.54
O 0.0000 0.0000 0.5000  4 Cd 2.18
Cd 0.5000 0.5000 0.5000  4 O 2.18

Results
Space group = P4/mmm
Crystal system = tetragonal
Formation energy from raw total energies = 11.698 kcal/mol of atoms



# 6
A relaxed structure of CdBS2N, computed with PBE.

Cell lengths 5.3928, 5.3928, 2.6906 Å; angles 90.00, 90.00, 90.00 degrees
With the nearest neighbours (Å) after each atom.
Positions (direct):
B 0.0000 0.0000 0.0000  2 N 1.35
S 0.0000 0.5000 0.0000  2 S 2.69, 2 B 2.70, 4 Cd 3.01, 4 N 3.01
N 0.0000 0.0000 0.5000  2 B 1.35
Cd 0.5000 0.5000 0.5000  2 Cd 2.69, 8 S 3.01
S 0.5000 0.0000 0.0000  2 S 2.69, 2 B 2.70, 4 Cd 3.01, 4 N 3.01

Results
Space group = P4/mmm
Crystal system = tetragonal
Formation energy from raw total energies = 5.711 kcal/mol of atoms



# 7
A relaxed structure of CdBSN2, computed with PBE.

Cell lengths 3.3316, 3.3316, 7.1376 Å; angles 90.00, 90.00, 90.00 degrees
With the nearest neighbours (Å) after each atom.
Positions (direct):
Cd 0.5000 0.5000 0.5000  4 S 2.36
N 0.0000 0.5000 0.0000  2 B 1.67
B 0.0000 0.0000 0.0000  4 N 1.67
N 0.5000 0.0000 0.0000  2 B 1.67
S 0.0000 0.0000 0.5000  4 Cd 2.36

Results
Space group = P4/mmm
Crystal system = tetragonal
Formation energy from raw total energies = 25.078 kcal/mol of atoms



# 8
A relaxed structure of CdBS2N, computed with PBE.

Cell lengths 5.0748, 5.0748, 4.2504 Å; angles 90.00, 90.00, 90.00 degrees
With the nearest neighbours (Å) after each atom.
Positions (direct):
B 0.5000 0.5000 0.5000  8 S 3.31, 4 N 3.59
N 0.0000 0.0000 0.5000  2 Cd 2.13
Cd 0.0000 0.0000 0.0000  2 N 2.13
S 0.5000 0.0000 0.0000  2 Cd 2.54
S 0.0000 0.5000 0.0000  2 Cd 2.54

Results
Space group = P4/mmm
Crystal system = tetragonal
Formation energy from raw total energies = 48.194 kcal/mol of atoms



# 9
A relaxed structure of CdBSN2, computed with PBE.

Cell lengths 4.2240, 4.2240, 5.4415 Å; angles 90.00, 90.00, 90.00 degrees
With the nearest neighbours (Å) after each atom.
Positions (direct):
B 0.5000 0.5000 0.5000  4 S 2.99
S 0.0000 0.0000 0.5000  2 Cd 2.72, 4 B 2.99
N 0.0000 0.5000 0.0000  2 Cd 2.11
Cd 0.0000 0.0000 0.0000  4 N 2.11
N 0.5000 0.0000 0.0000  2 Cd 2.11

Results
Space group = P4/mmm
Crystal system = tetragonal
Formation energy from raw total energies = 60.381 kcal/mol of atoms



# 10
A relaxed structure of SrCdB2N, computed with PBE.

Cell lengths 4.1188, 4.7607, 4.1188 Å; angles 90.00, 90.00, 90.00 degrees
With the nearest neighbours (Å) after each atom.
Positions (direct):
B 0.5000 0.0000 0.0000  2 N 2.06
B 0.0000 0.0000 0.5000  2 N 2.06
Cd 0.5000 0.5000 0.5000  4 Sr 2.91, 8 B 3.15
N 0.0000 0.0000 0.0000  4 B 2.06
Sr 0.0000 0.5000 0.0000  2 N 2.38

Results
Space group = P4/mmm
Crystal system = tetragonal
Formation energy from raw total energies = 34.358 kcal/mol of atoms



# 11
A relaxed structure of CdBTe2N, computed with PBE.

Cell lengths 5.7641, 5.7641, 4.0873 Å; angles 90.00, 90.00, 90.00 degrees
With the nearest neighbours (Å) after each atom.
Positions (direct):
B 0.5000 0.5000 0.5000  8 Te 3.53
Cd 0.0000 0.0000 0.0000  2 N 2.04
Te 0.5000 0.0000 0.0000  2 Cd 2.88
N 0.0000 0.0000 0.5000  2 Cd 2.04
Te 0.0000 0.5000 0.0000  2 Cd 2.88

Results
Space group = P4/mmm
Crystal system = tetragonal
Formation energy from raw total energies = 43.595 kcal/mol of atoms



# 12
A relaxed structure of CdBTe2N, computed with PBE.

Cell lengths 6.9760, 6.9760, 2.7309 Å; angles 90.00, 90.00, 90.00 degrees
With the nearest neighbours (Å) after each atom.
Positions (direct):
Te 0.0000 0.5000 0.0000  2 Te 2.73
Cd 0.5000 0.5000 0.5000  2 Cd 2.73
N 0.0000 0.0000 0.5000  2 B 1.37
Te 0.5000 0.0000 0.0000  2 Te 2.73
B 0.0000 0.0000 0.0000  2 N 1.37

Results
Space group = P4/mmm
Crystal system = tetragonal
Formation energy from raw total energies = 2.221 kcal/mol of atoms